# 1
First-principles (GGA-PBE) data for crystalline PrBe2SiRh2 at its relaxed geometry, as listed in Alexandria.

The space group is P4/mmm (No. 123) and the conventional cell measures 4.1085, 4.1085 and 5.6878 Å, with angles of 90.00, 90.00 and 90.00 degrees. The asymmetric unit holds Pr at (0.0000, 0.0000, 0.0000), Be at (0.0000, 0.5000, 0.5000), Si at (0.0000, 0.0000, 0.5000) and Rh at (0.5000, 0.5000, 0.2603).

Its raw formation energy is -82 meV per atom.

***

# 2
First-principles (GGA-PBE) data for crystalline Pr2Be2SnRh5 at its relaxed geometry, as listed in Alexandria.

The space group is P4/mbm (No. 127) and the conventional cell measures 9.8493, 9.8493 and 3.3921 Å, with angles of 90.00, 90.00 and 90.00 degrees. The asymmetric unit holds Pr at (0.1778, 0.3222, 0.0000), Be at (0.1186, 0.6186, 0.0000), Sn at (0.0000, 0.0000, 0.0000), Rh at (0.0000, 0.5000, 0.5000) and Rh at (0.0678, 0.7798, 0.5000).

For the electronic total energy, the calculation gives -6.47 eV per atom.

***

# 3
First-principles (GGA-PBE) data for crystalline Pr2BeZnRh2 at its relaxed geometry, as listed in Alexandria.

The space group is Ibam (No. 72) and the conventional cell measures 5.9512, 14.0410 and 5.7272 Å, with angles of 90.00, 90.00 and 90.00 degrees. The asymmetric unit holds Pr at (0.2372, 0.1649, 0.0000), Be at (0.0000, 0.5000, 0.2500), Zn at (0.0000, 0.0000, 0.2500) and Rh at (0.2087, 0.3971, 0.0000).

For the electronic total energy, the calculation gives -5.38 eV per atom.

***

# 4
First-principles (GGA-PBE) data for crystalline PrBeZn2Rh2 at its relaxed geometry, as listed in Alexandria.

The space group is P4/mmm (No. 123) and the conventional cell measures 4.2782, 4.2782 and 5.6099 Å, with angles of 90.00, 90.00 and 90.00 degrees. The asymmetric unit holds Pr at (0.0000, 0.0000, 0.0000), Be at (0.0000, 0.0000, 0.5000), Zn at (0.5000, 0.5000, 0.2333) and Rh at (0.0000, 0.5000, 0.5000).

For the electronic total energy, the calculation gives -4.76 eV per atom.

***

Copy entry 4 word for word.
First-principles (GGA-PBE) data for crystalline PrBeZn2Rh2 at its relaxed geometry, as listed in Alexandria.

The space group is P4/mmm (No. 123) and the conventional cell measures 4.2782, 4.2782 and 5.6099 Å, with angles of 90.00, 90.00 and 90.00 degrees. The asymmetric unit holds Pr at (0.0000, 0.0000, 0.0000), Be at (0.0000, 0.0000, 0.5000), Zn at (0.5000, 0.5000, 0.2333) and Rh at (0.0000, 0.5000, 0.5000).

For the electronic total energy, the calculation gives -4.76 eV per atom.